No. 1
DyHfZnRe: optimized geometry, PBE-GGA.

```
DyHfZnRe
1.0
6.772 0.000 0.000
0.000 6.772 0.000
0.000 0.000 6.772
Dy Hf Zn Re
4 4 4 4
direct
0.000 0.000 0.000 Dy
0.000 0.500 0.500 Dy
0.500 0.000 0.500 Dy
0.500 0.500 0.000 Dy
0.000 0.000 0.500 Hf
0.000 0.500 0.000 Hf
0.500 0.000 0.000 Hf
0.500 0.500 0.500 Hf
0.250 0.250 0.250 Zn
0.250 0.750 0.750 Zn
0.750 0.250 0.750 Zn
0.750 0.750 0.250 Zn
0.250 0.250 0.750 Re
0.250 0.750 0.250 Re
0.750 0.250 0.250 Re
0.750 0.750 0.750 Re
```

Computed properties:
E_tot ... -7.18 eV per atom
Volume ... 311 Å³/cell
Space group ... F-43m (216)
DFT formation energy ... -0.109 eV/atom

---

No. 2
Cu2PSe: optimized geometry, PBE-GGA.

```
Cu2PSe
1.0
2.896 0.000 0.000
0.000 2.896 0.000
0.000 0.000 7.306
Cu P Se
2 1 1
direct
0.000 0.000 0.204 Cu
0.000 0.000 0.796 Cu
0.500 0.500 0.000 P
0.500 0.500 0.500 Se
```

Computed properties:
E_tot ... -3.94 eV per atom
Volume ... 61 Å³/cell
Space group ... P4/mmm (123)
Raw formation energy ... 328 meV/atom

---

Which value of E_tot does entry 1 give?
-7.18 eV per atom

---

Look up the E_tot of the first one.
-7.18 eV per atom

---

Copy entry 2 word for word.
Cu2PSe: optimized geometry, PBE-GGA.

```
Cu2PSe
1.0
2.896 0.000 0.000
0.000 2.896 0.000
0.000 0.000 7.306
Cu P Se
2 1 1
direct
0.000 0.000 0.204 Cu
0.000 0.000 0.796 Cu
0.500 0.500 0.000 P
0.500 0.500 0.500 Se
```

Computed properties:
E_tot ... -3.94 eV per atom
Volume ... 61 Å³/cell
Space group ... P4/mmm (123)
Raw formation energy ... 328 meV/atom

---

What did the second record say?
Cu2PSe: optimized geometry, PBE-GGA.

```
Cu2PSe
1.0
2.896 0.000 0.000
0.000 2.896 0.000
0.000 0.000 7.306
Cu P Se
2 1 1
direct
0.000 0.000 0.204 Cu
0.000 0.000 0.796 Cu
0.500 0.500 0.000 P
0.500 0.500 0.500 Se
```

Computed properties:
E_tot ... -3.94 eV per atom
Volume ... 61 Å³/cell
Space group ... P4/mmm (123)
Raw formation energy ... 328 meV/atom